## 1
DFT (GGA-PBE) results for a geometry-optimized DyY2Ho5 structure.

Results
Total magnetization   0.0 μB per formula unit
Fermi-level density of states   9.541 states/eV/f.u.

Unit cell a=4.9982 b=7.0784 c=14.1564 alpha=90.00 beta=90.00 gamma=90.00
Closest atoms and distances in Å follow each position.
Positions (direct):
Dy  0.0000  0.0000  0.5000  8 Ho 3.54, 4 Y 3.54
Dy  0.0000  0.5000  0.0000  8 Ho 3.54, 4 Y 3.54
Y  0.5000  0.2499  0.6252  10 Ho 3.53-3.54, 2 Dy 3.54
Y  0.5000  0.7501  0.3748  10 Ho 3.53-3.54, 2 Dy 3.54
Y  0.5000  0.2501  0.1252  10 Ho 3.53-3.54, 2 Dy 3.54
Y  0.5000  0.7499  0.8748  10 Ho 3.53-3.54, 2 Dy 3.54
Ho  0.0000  0.0000  0.0000  6 Ho 3.54, 4 Y 3.54, 2 Dy 3.54
Ho  0.0000  0.5000  0.5000  6 Ho 3.54, 4 Y 3.54, 2 Dy 3.54
Ho  0.0000  0.4998  0.7499  4 Y 3.53-3.54, 7 Ho 3.54, 1 Dy 3.54
Ho  0.0000  0.5002  0.2501  4 Y 3.53-3.54, 7 Ho 3.54, 1 Dy 3.54
Ho  0.0000  0.0002  0.2499  4 Y 3.53-3.54, 7 Ho 3.54, 1 Dy 3.54
Ho  0.0000  0.9998  0.7501  4 Y 3.53-3.54, 7 Ho 3.54, 1 Dy 3.54
Ho  0.5000  0.2498  0.8750  6 Ho 3.54, 4 Y 3.54, 2 Dy 3.54
Ho  0.5000  0.7502  0.1250  6 Ho 3.54, 4 Y 3.54, 2 Dy 3.54
Ho  0.5000  0.2502  0.3750  6 Ho 3.54, 4 Y 3.54, 2 Dy 3.54
Ho  0.5000  0.7498  0.6250  6 Ho 3.54, 4 Y 3.54, 2 Dy 3.54

=====

## 2
DFT (GGA-PBE) results for a geometry-optimized DyY2Ho5 structure.

Results
Total magnetization   0.0 μB per formula unit
Fermi-level density of states   12.303 states/eV/f.u.

Unit cell a=6.5956 b=8.8177 c=10.9102 alpha=100.92 beta=59.58 gamma=111.95
Closest atoms and distances in Å follow each position.
Positions (direct):
Dy  0.7918  0.5839  0.7500  4 Y 3.41-3.61, 8 Ho 3.46-3.72
Dy  0.2082  0.4161  0.2500  4 Y 3.41-3.61, 8 Ho 3.46-3.72
Y  0.8002  0.6291  0.4250  6 Ho 3.32-3.68, 2 Dy 3.41-3.61, 1 Y 3.41
Y  0.8288  0.6289  0.0748  6 Ho 3.32-3.69, 2 Dy 3.41-3.61, 1 Y 3.41
Y  0.1998  0.3709  0.5750  6 Ho 3.32-3.68, 2 Dy 3.41-3.61, 1 Y 3.41
Y  0.1712  0.3711  0.9252  6 Ho 3.32-3.69, 2 Dy 3.41-3.61, 1 Y 3.41
Ho  0.1151  0.9817  0.8388  3 Ho 3.05-3.11, 1 Y 3.32
Ho  0.8660  0.9814  0.6612  3 Ho 3.05-3.11, 1 Y 3.32
Ho  0.3658  0.7936  0.4488  5 Ho 3.45-3.72, 3 Y 3.55-3.79, 2 Dy 3.61-3.72
Ho  0.4275  0.7935  0.0514  5 Ho 3.45-3.73, 3 Y 3.55-3.79, 2 Dy 3.61-3.72
Ho  0.6440  0.2876  0.2500  2 Ho 3.08, 4 Y 3.36-3.44
Ho  0.3560  0.7124  0.7500  2 Ho 3.08, 4 Y 3.36-3.44
Ho  0.6342  0.2064  0.5512  5 Ho 3.45-3.72, 3 Y 3.55-3.79, 2 Dy 3.61-3.72
Ho  0.5725  0.2065  0.9486  5 Ho 3.45-3.73, 3 Y 3.55-3.79, 2 Dy 3.61-3.72
Ho  0.8849  0.0183  0.1612  3 Ho 3.05-3.11, 1 Y 3.32
Ho  0.1340  0.0186  0.3388  3 Ho 3.05-3.11, 1 Y 3.32

=====

Which of them is least stable? Easy: 2.

=====

## 1
DFT (GGA-PBE) results for a geometry-optimized Dy6Y12Ho structure.

Results
Total magnetization   0.0 μB per formula unit
Fermi-level density of states   32.698 states/eV/f.u.

Unit cell a=9.1333 b=9.1333 c=9.1333 alpha=106.67 beta=106.67 gamma=106.67
Closest atoms and distances in Å follow each position.
Positions (direct):
Dy  0.0776  0.1858  0.4515  8 Y 3.33-3.63
Dy  0.8142  0.5485  0.9224  8 Y 3.33-3.63
Dy  0.5485  0.9224  0.8142  8 Y 3.33-3.63
Dy  0.9224  0.8142  0.5485  8 Y 3.33-3.63
Dy  0.1858  0.4515  0.0776  8 Y 3.33-3.63
Dy  0.4515  0.0776  0.1858  8 Y 3.33-3.63
Y  0.4825  0.1904  0.5778  3 Dy 3.33-3.57, 6 Y 3.35-3.51
Y  0.1904  0.5778  0.4825  3 Dy 3.33-3.57, 6 Y 3.35-3.51
Y  0.5778  0.4825  0.1904  3 Dy 3.33-3.57, 6 Y 3.35-3.51
Y  0.5175  0.8096  0.4222  3 Dy 3.33-3.57, 6 Y 3.35-3.51
Y  0.8096  0.4222  0.5175  3 Dy 3.33-3.57, 6 Y 3.35-3.51
Y  0.4222  0.5175  0.8096  3 Dy 3.33-3.57, 6 Y 3.35-3.51
Y  0.2816  0.1359  0.8255  3 Y 3.35-3.51, 5 Dy 3.35-3.63, 1 Ho 3.51
Y  0.1745  0.7184  0.8641  3 Y 3.35-3.51, 5 Dy 3.35-3.63, 1 Ho 3.51
Y  0.8641  0.1745  0.7184  3 Y 3.35-3.51, 5 Dy 3.35-3.63, 1 Ho 3.51
Y  0.7184  0.8641  0.1745  3 Y 3.35-3.51, 5 Dy 3.35-3.63, 1 Ho 3.51
Y  0.8255  0.2816  0.1359  3 Y 3.35-3.51, 5 Dy 3.35-3.63, 1 Ho 3.51
Y  0.1359  0.8255  0.2816  3 Y 3.35-3.51, 5 Dy 3.35-3.63, 1 Ho 3.51
Ho  0.0000  0.0000  0.0000  6 Y 3.51, 6 Dy 3.74

=====

## 2
DFT (GGA-PBE) results for a geometry-optimized Dy6Y12Ho structure.

Results
Total magnetization   0.0 μB per formula unit
Fermi-level density of states   33.870 states/eV/f.u.

Unit cell a=8.5462 b=8.5462 c=8.5462 alpha=88.00 beta=88.00 gamma=88.00
Closest atoms and distances in Å follow each position.
Positions (direct):
Dy  0.7440  0.9075  0.3061  6 Y 3.28-3.61, 1 Ho 3.44, 2 Dy 3.46
Dy  0.6939  0.2560  0.0925  6 Y 3.28-3.61, 1 Ho 3.44, 2 Dy 3.46
Dy  0.0925  0.6939  0.2560  6 Y 3.28-3.61, 1 Ho 3.44, 2 Dy 3.46
Dy  0.2560  0.0925  0.6939  6 Y 3.28-3.61, 1 Ho 3.44, 2 Dy 3.46
Dy  0.3061  0.7440  0.9075  6 Y 3.28-3.61, 1 Ho 3.44, 2 Dy 3.46
Dy  0.9075  0.3061  0.7440  6 Y 3.28-3.61, 1 Ho 3.44, 2 Dy 3.46
Y  0.7768  0.5423  0.4366  3 Dy 3.28-3.45, 6 Y 3.33-3.58
Y  0.4366  0.7768  0.5423  3 Dy 3.28-3.45, 6 Y 3.33-3.58
Y  0.5423  0.4366  0.7768  3 Dy 3.28-3.45, 6 Y 3.33-3.58
Y  0.2232  0.4577  0.5634  3 Dy 3.28-3.45, 6 Y 3.33-3.58
Y  0.5634  0.2232  0.4577  3 Dy 3.28-3.45, 6 Y 3.33-3.58
Y  0.4577  0.5634  0.2232  3 Dy 3.28-3.45, 6 Y 3.33-3.58
Y  0.0113  0.2013  0.3586  4 Y 3.45-3.58, 4 Dy 3.50-3.68, 1 Ho 3.57
Y  0.7987  0.6414  0.9887  4 Y 3.45-3.58, 4 Dy 3.50-3.68, 1 Ho 3.57
Y  0.6414  0.9887  0.7987  4 Y 3.45-3.58, 4 Dy 3.50-3.68, 1 Ho 3.57
Y  0.9887  0.7987  0.6414  4 Y 3.45-3.58, 4 Dy 3.50-3.68, 1 Ho 3.57
Y  0.2013  0.3586  0.0113  4 Y 3.45-3.58, 4 Dy 3.50-3.68, 1 Ho 3.57
Y  0.3586  0.0113  0.2013  4 Y 3.45-3.58, 4 Dy 3.50-3.68, 1 Ho 3.57
Ho  0.0000  0.0000  0.0000  6 Dy 3.44, 6 Y 3.57

=====

Which of them is least stable? Easy: 1.

=====

## 1
DFT (GGA-PBE) results for a geometry-optimized Dy3YHo5 structure.

Results
Total magnetization   0.0 μB per formula unit
Fermi-level density of states   12.435 states/eV/f.u.

Unit cell a=9.4413 b=9.4413 c=11.5189 alpha=52.86 beta=52.86 gamma=73.82
Closest atoms and distances in Å follow each position.
Positions (direct):
Dy  0.6946  0.6946  0.8155  1 Dy 3.03, 5 Ho 3.18-3.35, 1 Y 3.37
Dy  0.6580  0.6580  0.3619  2 Dy 3.16-3.40, 4 Ho 3.21-3.51, 1 Y 3.25
Dy  0.0000  0.0000  0.0000  4 Ho 2.94-3.13, 2 Y 3.27
Dy  0.0000  0.0000  0.5000  2 Dy 3.03, 2 Y 3.22
Dy  0.3054  0.3054  0.1845  1 Dy 3.03, 5 Ho 3.18-3.35, 1 Y 3.37
Dy  0.3420  0.3420  0.6381  2 Dy 3.16-3.40, 4 Ho 3.21-3.51, 1 Y 3.25
Y  0.1506  0.1506  0.5985  4 Dy 3.22-3.37, 2 Ho 3.34-3.40
Y  0.8494  0.8494  0.4015  4 Dy 3.22-3.37, 2 Ho 3.34-3.40
Ho  0.8503  0.3474  0.2503  3 Ho 3.29-3.67, 2 Dy 3.46-3.51
Ho  0.2588  0.7412  0.0000  1 Dy 2.94
Ho  0.8157  0.8157  0.9620  3 Dy 3.13-3.29, 3 Ho 3.26-3.29, 1 Y 3.34
Ho  0.4919  0.4919  0.2298  3 Dy 3.18-3.34, 3 Ho 3.26-3.37, 1 Y 3.40
Ho  0.5081  0.5081  0.7702  3 Dy 3.18-3.34, 3 Ho 3.26-3.37, 1 Y 3.40
Ho  0.1843  0.1843  0.0380  3 Dy 3.13-3.29, 3 Ho 3.26-3.29, 1 Y 3.34
Ho  0.3474  0.8503  0.2503  3 Ho 3.29-3.67, 2 Dy 3.46-3.51
Ho  0.7412  0.2588  0.0000  1 Dy 2.94
Ho  0.1497  0.6526  0.7497  3 Ho 3.29-3.67, 2 Dy 3.46-3.51
Ho  0.6526  0.1497  0.7497  3 Ho 3.29-3.67, 2 Dy 3.46-3.51

=====

## 2
DFT (GGA-PBE) results for a geometry-optimized Dy3YHo5 structure.

Results
Total magnetization   0.0 μB per formula unit
Fermi-level density of states   15.367 states/eV/f.u.

Unit cell a=8.6950 b=9.2728 c=11.0053 alpha=126.42 beta=90.00 gamma=117.96
Closest atoms and distances in Å follow each position.
Positions (direct):
Dy  0.0000  0.0000  0.0000  6 Ho 3.30-3.51
Dy  0.7500  0.5632  0.5309  7 Ho 3.53-3.80, 2 Y 3.63-3.69, 3 Dy 3.82-3.87
Dy  0.0000  0.0000  0.5000  6 Ho 3.30-3.51
Dy  0.2500  0.4368  0.4691  7 Ho 3.53-3.80, 2 Y 3.63-3.69, 3 Dy 3.82-3.87
Dy  0.8132  0.5632  0.0309  7 Ho 3.53-3.80, 2 Y 3.63-3.69, 3 Dy 3.82-3.87
Dy  0.1868  0.4368  0.9691  7 Ho 3.53-3.80, 2 Y 3.63-3.69, 3 Dy 3.82-3.87
Y  0.6722  0.0000  0.7500  2 Ho 3.23
Y  0.3278  0.0000  0.2500  2 Ho 3.23
Ho  0.2364  0.0000  0.7500  4 Ho 3.05-3.41
Ho  0.5244  0.8074  0.9240  4 Ho 3.05-3.17, 1 Y 3.23
Ho  0.8985  0.3621  0.1967  2 Ho 3.05-3.14, 1 Dy 3.30
Ho  0.4756  0.1926  0.0760  4 Ho 3.05-3.17, 1 Y 3.23
Ho  0.5364  0.6379  0.3033  2 Ho 3.05-3.14, 1 Dy 3.30
Ho  0.7636  0.0000  0.2500  4 Ho 3.05-3.41
Ho  0.2830  0.8074  0.4240  4 Ho 3.05-3.17, 1 Y 3.23
Ho  0.7170  0.1926  0.5760  4 Ho 3.05-3.17, 1 Y 3.23
Ho  0.4636  0.3621  0.6967  2 Ho 3.05-3.14, 1 Dy 3.30
Ho  0.1015  0.6379  0.8033  2 Ho 3.05-3.14, 1 Dy 3.30

=====

Which of them is least stable? Easy: 1.

=====

## 1
DFT (GGA-PBE) results for a geometry-optimized Dy7Y4Ho structure.

Results
Total magnetization   0.0 μB per formula unit
Fermi-level density of states   16.406 states/eV/f.u.

Unit cell a=7.1607 b=9.4652 c=8.8221 alpha=81.15 beta=90.04 gamma=40.96
Closest atoms and distances in Å follow each position.
Positions (direct):
Dy  0.7504  0.4991  0.9991  7 Dy 3.52-3.59, 3 Y 3.53-3.54, 2 Ho 3.57-3.59
Dy  0.2496  0.5009  0.0009  7 Dy 3.52-3.59, 3 Y 3.53-3.54, 2 Ho 3.57-3.59
Dy  0.9721  0.2771  0.6671  5 Dy 3.52-3.59, 1 Ho 3.52, 6 Y 3.52-3.59
Dy  0.0279  0.7229  0.3329  5 Dy 3.52-3.59, 1 Ho 3.52, 6 Y 3.52-3.59
Dy  0.2209  0.7794  0.6665  6 Dy 3.51-3.59, 1 Ho 3.53, 5 Y 3.53-3.58
Dy  0.5000  0.0000  0.0000  6 Dy 3.53-3.59, 4 Y 3.53-3.54, 2 Ho 3.58
Dy  0.7791  0.2206  0.3335  6 Dy 3.51-3.59, 1 Ho 3.53, 5 Y 3.53-3.58
Y  0.5287  0.7201  0.3337  8 Dy 3.52-3.59, 1 Ho 3.53, 3 Y 3.53-3.59
Y  0.4713  0.2799  0.6663  8 Dy 3.52-3.59, 1 Ho 3.53, 3 Y 3.53-3.59
Y  0.7224  0.7779  0.6665  4 Y 3.52-3.59, 8 Dy 3.53-3.59
Y  0.2776  0.2221  0.3335  4 Y 3.52-3.59, 8 Dy 3.53-3.59
Ho  0.0000  0.0000  0.0000  10 Dy 3.52-3.59, 2 Y 3.53

=====

## 2
DFT (GGA-PBE) results for a geometry-optimized Dy7Y4Ho structure.

Results
Total magnetization   0.0 μB per formula unit
Fermi-level density of states   20.603 states/eV/f.u.

Unit cell a=5.8819 b=11.5593 c=6.6762 alpha=83.95 beta=63.86 gamma=75.26
Closest atoms and distances in Å follow each position.
Positions (direct):
Dy  0.7887  0.9241  0.4986  1 Ho 3.11, 4 Dy 3.12-3.40, 4 Y 3.30-3.38
Dy  0.2113  0.0759  0.5014  1 Ho 3.11, 4 Dy 3.12-3.40, 4 Y 3.30-3.38
Dy  0.0631  0.6812  0.1926  4 Dy 3.26-3.58, 2 Y 3.62
Dy  0.9369  0.3188  0.8074  4 Dy 3.26-3.58, 2 Y 3.62
Dy  0.3675  0.4994  0.7656  2 Dy 3.18-3.26, 3 Y 3.28-3.49
Dy  0.5000  0.0000  0.0000  2 Ho 2.94, 2 Dy 3.12
Dy  0.6325  0.5006  0.2344  2 Dy 3.18-3.26, 3 Y 3.28-3.49
Y  0.6373  0.2242  0.5012  7 Dy 3.35-3.62, 2 Y 3.63
Y  0.3627  0.7758  0.4988  7 Dy 3.35-3.62, 2 Y 3.63
Y  0.7583  0.6799  0.8034  5 Dy 3.28-3.66, 2 Y 3.63
Y  0.2417  0.3201  0.1966  5 Dy 3.28-3.66, 2 Y 3.63
Ho  0.0000  0.0000  0.0000  4 Dy 2.94-3.11

=====

Which of them is least stable? Easy: 2.

=====

## 1
DFT (GGA-PBE) results for a geometry-optimized DyY6Ho2 structure.

Results
Total magnetization   0.0 μB per formula unit
Fermi-level density of states   13.409 states/eV/f.u.

Unit cell a=11.0107 b=9.5251 c=9.5251 alpha=75.72 beta=50.65 gamma=50.65
Closest atoms and distances in Å follow each position.
Positions (direct):
Dy  0.2500  0.3331  0.6669  4 Ho 3.47-3.55, 6 Y 3.48-3.56
Dy  0.7500  0.6669  0.3331  4 Ho 3.47-3.55, 6 Y 3.48-3.56
Y  0.6016  0.3972  0.5948  5 Y 3.15-3.51
Y  0.8984  0.4052  0.6028  5 Y 3.15-3.51
Y  0.3984  0.6028  0.4052  5 Y 3.15-3.51
Y  0.1016  0.5948  0.3972  5 Y 3.15-3.51
Y  0.7794  0.0179  0.3346  4 Ho 3.44-3.59, 2 Dy 3.48-3.56, 5 Y 3.51-3.77
Y  0.7206  0.6654  0.9821  4 Ho 3.44-3.59, 2 Dy 3.48-3.56, 5 Y 3.51-3.77
Y  0.2206  0.9821  0.6654  4 Ho 3.44-3.59, 2 Dy 3.48-3.56, 5 Y 3.51-3.77
Y  0.2794  0.3346  0.0179  4 Ho 3.44-3.59, 2 Dy 3.48-3.56, 5 Y 3.51-3.77
Y  0.3212  0.7069  0.9849  2 Ho 3.29-3.49, 5 Y 3.37-3.57
Y  0.1788  0.0151  0.2931  2 Ho 3.29-3.49, 5 Y 3.37-3.57
Y  0.6788  0.2931  0.0151  2 Ho 3.29-3.49, 5 Y 3.37-3.57
Y  0.8212  0.9849  0.7069  2 Ho 3.29-3.49, 5 Y 3.37-3.57
Ho  0.0210  0.7588  0.9149  7 Y 3.29-3.63, 2 Dy 3.47-3.55, 1 Ho 3.56
Ho  0.4790  0.0851  0.2412  7 Y 3.29-3.63, 2 Dy 3.47-3.55, 1 Ho 3.56
Ho  0.9790  0.2412  0.0851  7 Y 3.29-3.63, 2 Dy 3.47-3.55, 1 Ho 3.56
Ho  0.5210  0.9149  0.7588  7 Y 3.29-3.63, 2 Dy 3.47-3.55, 1 Ho 3.56

=====

## 2
DFT (GGA-PBE) results for a geometry-optimized DyY6Ho2 structure.

Results
Total magnetization   0.0 μB per formula unit
Fermi-level density of states   17.649 states/eV/f.u.

Unit cell a=3.5096 b=8.7123 c=10.0584 alpha=78.18 beta=79.95 gamma=78.38
Closest atoms and distances in Å follow each position.
Positions (direct):
Dy  0.0000  0.0000  0.0000  4 Y 3.34-3.52, 2 Dy 3.51, 4 Ho 3.67
Y  0.7707  0.3473  0.1113  8 Y 3.27-3.61, 1 Dy 3.34, 2 Ho 3.64
Y  0.2293  0.6527  0.8887  8 Y 3.27-3.61, 1 Dy 3.34, 2 Ho 3.64
Y  0.3863  0.6717  0.5557  8 Y 3.27-3.54, 3 Ho 3.42-3.55
Y  0.0487  0.6519  0.2507  9 Y 3.51-3.61, 1 Dy 3.52, 2 Ho 3.77
Y  0.9513  0.3481  0.7492  9 Y 3.51-3.61, 1 Dy 3.52, 2 Ho 3.77
Y  0.6137  0.3283  0.4443  8 Y 3.27-3.54, 3 Ho 3.42-3.55
Ho  0.3291  0.0193  0.3226  7 Y 3.42-3.77, 2 Ho 3.51, 2 Dy 3.67
Ho  0.6709  0.9807  0.6774  7 Y 3.42-3.77, 2 Ho 3.51, 2 Dy 3.67

=====

Which of them is least stable? Easy: 2.

=====

## 1
DFT (GGA-PBE) results for a geometry-optimized Dy5Y5Ho2 structure.

Results
Total magnetization   0.0 μB per formula unit
Fermi-level density of states   16.248 states/eV/f.u.

Unit cell a=5.0217 b=7.9378 c=11.2290 alpha=115.07 beta=90.00 gamma=108.44
Closest atoms and distances in Å follow each position.
Positions (direct):
Dy  0.5000  0.0000  0.5000  2 Dy 3.54, 6 Y 3.54-3.55, 4 Ho 3.56
Dy  0.6669  0.3339  0.9999  5 Y 3.54-3.55, 4 Dy 3.54-3.56, 3 Ho 3.54-3.55
Dy  0.5823  0.1645  0.2497  2 Ho 3.54, 3 Dy 3.54-3.56, 7 Y 3.55-3.57
Dy  0.4177  0.8355  0.7503  2 Ho 3.54, 3 Dy 3.54-3.56, 7 Y 3.55-3.57
Dy  0.3331  0.6661  0.0001  5 Y 3.54-3.55, 4 Dy 3.54-3.56, 3 Ho 3.54-3.55
Y  0.1658  0.3316  0.4996  5 Dy 3.54-3.57, 2 Ho 3.54-3.55, 5 Y 3.56-3.57
Y  0.7496  0.4991  0.7504  6 Dy 3.54-3.57, 2 Ho 3.55, 4 Y 3.55-3.56
Y  0.2504  0.5009  0.2496  6 Dy 3.54-3.57, 2 Ho 3.55, 4 Y 3.55-3.56
Y  0.8342  0.6684  0.5004  5 Dy 3.54-3.57, 2 Ho 3.54-3.55, 5 Y 3.56-3.57
Y  0.0000  0.0000  0.0000  2 Ho 3.54, 8 Dy 3.55, 2 Y 3.55
Ho  0.0834  0.1668  0.7509  7 Dy 3.54-3.56, 5 Y 3.54-3.55
Ho  0.9166  0.8332  0.2491  7 Dy 3.54-3.56, 5 Y 3.54-3.55

=====

## 2
DFT (GGA-PBE) results for a geometry-optimized Dy5Y5Ho2 structure.

Results
Total magnetization   0.0 μB per formula unit
Fermi-level density of states   22.168 states/eV/f.u.

Unit cell a=5.6071 b=6.6025 c=11.9099 alpha=74.24 beta=76.39 gamma=64.87
Closest atoms and distances in Å follow each position.
Positions (direct):
Dy  0.5000  0.5000  0.5000  8 Y 3.50-3.75, 2 Dy 3.61, 4 Ho 3.72
Dy  0.2950  0.3644  0.0456  4 Dy 3.22-3.52, 1 Ho 3.51
Dy  0.4614  0.8649  0.2124  2 Ho 3.15, 2 Dy 3.22-3.52, 1 Y 3.51
Dy  0.5386  0.1351  0.7876  2 Ho 3.15, 2 Dy 3.22-3.52, 1 Y 3.51
Dy  0.7050  0.6356  0.9544  4 Dy 3.22-3.52, 1 Ho 3.51
Y  0.7966  0.8609  0.5459  2 Ho 3.24-3.50, 2 Y 3.33, 1 Dy 3.51
Y  0.2511  0.7474  0.7504  7 Dy 3.50-3.72, 4 Y 3.51-3.76, 3 Ho 3.60-3.72
Y  0.7489  0.2526  0.2496  7 Dy 3.50-3.72, 4 Y 3.51-3.76, 3 Ho 3.60-3.72
Y  0.2034  0.1391  0.4541  2 Ho 3.24-3.50, 2 Y 3.33, 1 Dy 3.51
Y  0.0000  0.0000  0.0000  2 Y 3.51, 2 Ho 3.59, 10 Dy 3.65-3.73
Ho  0.9638  0.3593  0.7131  3 Dy 3.15-3.51, 2 Y 3.24-3.50
Ho  0.0362  0.6407  0.2869  3 Dy 3.15-3.51, 2 Y 3.24-3.50

=====

Which of them is least stable? Easy: 2.